(1)
DFT (PBE) results for an optimized crystal structure of PmGdScPb.

abc: 5.4614 5.4614 5.4614
angles: 60.00 60.00 60.00
Fractional coordinates of all 4 atoms:
Pb 0.5000 0.5000 0.5000
Sc 0.0000 0.0000 0.0000
Gd 0.7500 0.7500 0.7500
Pm 0.2500 0.2500 0.2500

D(E_F) = 5.18 states/eV per cell
SG = F-43m
final energy = -7.368 eV/atom

=====

(2)
DFT (PBE) results for an optimized crystal structure of PmGdTePb.

abc: 5.4887 5.4887 5.4887
angles: 60.00 60.00 60.00
Fractional coordinates of all 4 atoms:
Pb 0.0000 0.0000 0.0000
Gd 0.2500 0.2500 0.2500
Te 0.5000 0.5000 0.5000
Pm 0.7500 0.7500 0.7500

energy relative to the elements, uncorrected = -0.766 eV per atom
D(E_F) = 2.65 states/eV per cell
SG = F-43m
final energy = -7.187 eV/atom

=====

(3)
DFT (PBE) results for an optimized crystal structure of PmGdTlPb.

abc: 5.4858 5.4858 5.4858
angles: 60.00 60.00 60.00
Fractional coordinates of all 4 atoms:
Pb 0.5000 0.5000 0.5000
Tl 0.0000 0.0000 0.0000
Gd 0.2500 0.2500 0.2500
Pm 0.7500 0.7500 0.7500

D(E_F) = 4.04 states/eV per cell
SG = F-43m
final energy = -6.636 eV/atom